# 1
DFT (GGA-PBE) results for a relaxed structure of SrMg14Fe.

a b c (Å): 6.545 6.545 10.411
angles (deg): 90.00 90.00 122.46
Each line ends with the local moment (μB).
Positions (direct):
Sr: 0.311 0.689 0.500  -0.03
Mg: 0.831 0.169 0.000  0.00
Mg: 0.335 0.665 0.000  0.00
Mg: 0.819 0.696 0.500  -0.01
Mg: 0.826 0.661 0.000  0.00
Mg: 0.304 0.181 0.500  -0.01
Mg: 0.339 0.174 0.000  0.00
Mg: 0.678 0.835 0.752  -0.01
Mg: 0.678 0.835 0.248  -0.01
Mg: 0.165 0.322 0.752  -0.01
Mg: 0.165 0.322 0.248  -0.01
Mg: 0.684 0.316 0.718  -0.01
Mg: 0.684 0.316 0.282  -0.01
Mg: 0.164 0.836 0.767  0.00
Mg: 0.164 0.836 0.233  0.00
Fe: 0.853 0.147 0.500  2.66

- Spin magnetization: 2.3 μB/f.u.
- Formation energy from the elements: 114 meV per atom
- Uncorrected energy: -1.9151 eV/atom

# 2
DFT (GGA-PBE) results for a relaxed structure of PaPbO5.

a b c (Å): 4.104 5.780 5.780
angles (deg): 71.26 69.20 69.20
Each line ends with the local moment (μB).
Positions (direct):
Pa: 0.500 0.500 0.500  0.04
Pb: 0.000 0.000 0.000  -0.01
O: 0.732 0.268 0.268  0.13
O: 0.000 0.319 0.681  0.17
O: 0.500 0.000 0.000  0.18
O: 0.000 0.681 0.319  0.17
O: 0.268 0.732 0.732  0.13

- Spin magnetization: 0.9 μB/f.u.
- Uncorrected energy: -7.2660 eV/atom

# 3
DFT (GGA-PBE) results for a relaxed structure of Pm4ThSn2.

a b c (Å): 6.035 6.035 7.569
angles (deg): 113.50 113.50 90.00
Positions (direct):
Pm: 0.750 0.250 0.500
Pm: 0.250 0.750 0.500
Pm: 0.500 0.000 0.000
Pm: 0.000 0.500 0.000
Th: 0.000 0.000 0.000
Sn: 0.629 0.629 0.259
Sn: 0.371 0.371 0.741

- Spin magnetization: 0.0 μB/f.u.
- Formation energy from the elements: 32 meV per atom
- Uncorrected energy: -4.8865 eV/atom

# 4
DFT (GGA-PBE) results for a relaxed structure of Pu2ScTl3.

a b c (Å): 3.303 3.303 14.060
angles (deg): 90.00 90.00 90.00
Each line ends with the local moment (μB).
Positions (direct):
Pu: 0.500 0.500 0.827  5.55
Pu: 0.500 0.500 0.173  5.55
Sc: 0.500 0.500 0.500  0.24
Tl: 0.000 0.000 0.000  -0.05
Tl: 0.000 0.000 0.654  -0.02
Tl: 0.000 0.000 0.346  -0.02

- Spin magnetization: 11.9 μB/f.u.
- Formation energy from the elements: -106 meV per atom
- Uncorrected energy: -7.1214 eV/atom